# Mg2TaW

A relaxed structure of Mg2TaW (PBE, the Alexandria database).

Results
Energy of formation in eV per atom: 0.85

```
data_Mg2TaW
_chemical_formula_sum 'Mg8 Ta4 W4'
_symmetry_space_group_name_H-M 'F m -3 m'
_symmetry_Int_Tables_number 225
_symmetry_space_group_name_Hall '-F 4 2 3'
_cell_length_a 6.5632
_cell_length_b 6.5632
_cell_length_c 6.5632
_cell_angle_alpha 90.00
_cell_angle_beta 90.00
_cell_angle_gamma 90.00
loop_
_atom_site_label
_atom_site_fract_x
_atom_site_fract_y
_atom_site_fract_z
_atom_site_occupancy
Mg1 0.2500 0.2500 0.2500 1
Ta1 0.0000 0.0000 0.0000 1
W1 0.0000 0.0000 0.5000 1
```


# La2MnGa3Pt4

A relaxed structure of La2MnGa3Pt4 (PBE, the Alexandria database).

Results
Energy of formation in eV per atom: -0.89

```
data_La2MnGa3Pt4
_chemical_formula_sum 'La2 Mn1 Ga3 Pt4'
_symmetry_space_group_name_H-M 'P -4 m 2'
_symmetry_Int_Tables_number 115
_symmetry_space_group_name_Hall 'P -4 -2'
_cell_length_a 4.2016
_cell_length_b 4.2016
_cell_length_c 11.1576
_cell_angle_alpha 90.00
_cell_angle_beta 90.00
_cell_angle_gamma 90.00
loop_
_atom_site_label
_atom_site_fract_x
_atom_site_fract_y
_atom_site_fract_z
_atom_site_occupancy
La1 0.0000 0.5000 0.2479 1
Mn1 0.5000 0.5000 0.0000 1
Ga1 0.0000 0.0000 0.0000 1
Ga2 0.0000 0.5000 0.6305 1
Pt1 0.0000 0.0000 0.5000 1
Pt2 0.0000 0.5000 0.8586 1
Pt3 0.5000 0.5000 0.5000 1
```


# CoWC3

A relaxed structure of CoWC3 (PBE, the Alexandria database).

Results
Energy of formation in eV per atom: 2.13

```
data_CoWC3
_chemical_formula_sum 'Co1 W1 C3'
_symmetry_space_group_name_H-M 'P m -3 m'
_symmetry_Int_Tables_number 221
_symmetry_space_group_name_Hall '-P 4 2 3'
_cell_length_a 4.0658
_cell_length_b 4.0658
_cell_length_c 4.0658
_cell_angle_alpha 90.00
_cell_angle_beta 90.00
_cell_angle_gamma 90.00
loop_
_atom_site_label
_atom_site_fract_x
_atom_site_fract_y
_atom_site_fract_z
_atom_site_occupancy
Co1 0.0000 0.0000 0.0000 1
W1 0.5000 0.5000 0.5000 1
C1 0.0000 0.5000 0.5000 1
```


# Cs2CrHCl6

A relaxed structure of Cs2CrHCl6 (PBE, the Alexandria database).

Results
Calculated total energy in eV per atom: -3.658

```
data_Cs2CrHCl6
_chemical_formula_sum 'Cs4 Cr2 H2 Cl12'
_symmetry_space_group_name_H-M 'I 4/m m m'
_symmetry_Int_Tables_number 139
_symmetry_space_group_name_Hall '-I 4 2'
_cell_length_a 7.3800
_cell_length_b 7.3800
_cell_length_c 10.5311
_cell_angle_alpha 90.00
_cell_angle_beta 90.00
_cell_angle_gamma 90.00
loop_
_atom_site_label
_atom_site_fract_x
_atom_site_fract_y
_atom_site_fract_z
_atom_site_occupancy
Cs1 0.0000 0.5000 0.2500 1
Cr1 0.0000 0.0000 0.0000 1
H1 0.0000 0.0000 0.5000 1
Cl1 0.0000 0.0000 0.2203 1
Cl2 0.2221 0.2221 0.0000 1
```